[1]
Compound: ScVSN2
Source: Alexandria
Functional: PBE
Structure: relaxed

Cell: 3.761 3.761 4.738 Å, 90.00 90.00 90.00°
Element x y z (fractional)
1 Sc 0.500 0.500 0.500
2 S 0.000 0.000 0.500
3 N 0.000 0.500 0.000
4 N 0.500 0.000 0.000
5 V 0.000 0.000 0.000

Computed properties:
Symmetry   P4/mmm
Formation energy from raw total energies   -0.534 eV per atom
E above lowest polymorph   0.000 eV/atom
Final energy   -7.7796 eV/atom

***

[2]
Compound: MgSc2Ni
Source: Alexandria
Functional: PBE
Structure: relaxed

Cell: 4.649 4.649 3.505 Å, 89.99 89.99 89.97°
Element x y z (fractional)
1 Mg 0.500 0.000 0.500
2 Ni 0.000 0.500 0.500
3 Sc 0.000 0.000 0.000
4 Sc 0.500 0.500 0.000

Computed properties:
Formation energy from the elements   -158 meV per atom
Symmetry   P4/mmm
Final energy   -5.1675 eV/atom

***

[3]
Compound: Tb3Zn7Pt4
Source: Alexandria
Functional: PBE
Structure: relaxed

Cell: 4.354 7.975 8.350 Å, 69.00 74.89 74.16°
Element x y z (fractional)
1 Tb 0.296 0.196 0.213
2 Tb 0.704 0.804 0.787
3 Tb 0.000 0.500 0.500
4 Zn 0.328 0.827 0.517
5 Zn 0.497 0.196 0.811
6 Zn 0.856 0.366 0.923
7 Zn 0.672 0.173 0.483
8 Zn 0.144 0.634 0.077
9 Zn 0.000 0.000 0.000
10 Zn 0.503 0.804 0.189
11 Pt 0.661 0.462 0.217
12 Pt 0.339 0.538 0.783
13 Pt 0.882 0.904 0.333
14 Pt 0.118 0.096 0.667

Computed properties:
Formation energy from the elements   -740 meV per atom
Symmetry   C2/m
Final energy   -4.0947 eV/atom